Record 1
KPm4Pd3O12: optimized geometry, PBE.

SG: No. 204
Theoretical density, kg/m3: 6156
Total DFT energy (no corrections), eV/atom: -6.5996
Formation energy (no corrections), eV per atom: -1.84

Cell: 7.344 7.344 7.344 Å, 109.47 109.47 109.47°
Element x y z (fractional)
K: 0.000 0.000 0.000
Pm: 0.500 0.000 0.000
Pm: 0.500 0.500 0.500
Pm: 0.000 0.500 0.000
Pm: 0.000 0.000 0.500
Pd: 0.000 0.500 0.500
Pd: 0.500 0.500 0.000
Pd: 0.500 0.000 0.500
O: 0.328 0.841 0.169
O: 0.672 0.159 0.831
O: 0.672 0.841 0.513
O: 0.831 0.672 0.159
O: 0.841 0.169 0.328
O: 0.159 0.487 0.328
O: 0.487 0.328 0.159
O: 0.159 0.831 0.672
O: 0.328 0.159 0.487
O: 0.169 0.328 0.841
O: 0.841 0.513 0.672
O: 0.513 0.672 0.841

Record 2
K2IrW: optimized geometry, PBE.

SG: No. 160
Theoretical density, kg/m3: 5160
Total DFT energy (no corrections), eV/atom: -5.3808
Energy of formation, eV/f.u.: 2.5

Cell: 9.928 9.928 9.928 Å, 24.34 24.34 24.34°
Element x y z (fractional)
Ir: 0.785 0.785 0.785
K: 0.035 0.035 0.035
K: 0.217 0.217 0.217
W: 0.464 0.464 0.464

Record 3
Pm3Th4Te8: optimized geometry, PBE.

SG: No. 12
Theoretical density, kg/m3: 7988
Total DFT energy (no corrections), eV/atom: -5.8361
Formation energy (no corrections), eV per atom: -1.23

Cell: 8.821 8.877 8.877 Å, 90.05 119.71 119.71°
Element x y z (fractional)
Pm: 0.500 0.500 0.000
Pm: 0.500 0.000 0.500
Pm: 0.500 0.500 0.500
Th: 0.500 0.000 0.000
Th: 0.000 0.500 0.000
Th: 0.000 0.000 0.000
Th: 0.000 0.000 0.500
Te: 0.517 0.259 0.259
Te: 0.000 0.740 0.260
Te: 0.002 0.262 0.262
Te: 0.500 0.749 0.251
Te: 0.500 0.251 0.749
Te: 0.998 0.738 0.738
Te: 0.000 0.260 0.740
Te: 0.483 0.741 0.741

Record 4
Tc3Rh2: optimized geometry, PBE.

SG: No. 166
Theoretical density, kg/m3: 11538
Total DFT energy (no corrections), eV/atom: -9.2073
Energy of formation, eV/f.u.: -0.2

Cell: 11.203 11.203 11.203 Å, 14.03 14.03 14.03°
Element x y z (fractional)
Tc: 0.000 0.000 0.000
Tc: 0.199 0.199 0.199
Tc: 0.801 0.801 0.801
Rh: 0.399 0.399 0.399
Rh: 0.601 0.601 0.601

Record 5
CaCo6: optimized geometry, PBE.

SG: No. 229
Theoretical density, kg/m3: 5837
Total DFT energy (no corrections), eV/atom: -5.7658
Energy of formation, eV/f.u.: 4.3

Cell: 5.260 5.260 5.260 Å, 109.47 109.47 109.47°
Element x y z (fractional)
Ca: 0.000 0.000 0.000
Co: 0.250 0.750 0.500
Co: 0.500 0.750 0.250
Co: 0.250 0.500 0.750
Co: 0.750 0.250 0.500
Co: 0.500 0.250 0.750
Co: 0.750 0.500 0.250

Record 6
CsSr2AgRu: optimized geometry, PBE.

SG: No. 123
Theoretical density, kg/m3: 4379
Total DFT energy (no corrections), eV/atom: -2.6168
Energy of formation, eV/f.u.: 3.3

Cell: 6.119 5.236 6.119 Å, 90.00 90.00 90.00°
Element x y z (fractional)
Cs: 0.500 0.500 0.500
Ru: 0.000 0.500 0.000
Ag: 0.000 0.000 0.000
Sr: 0.000 0.000 0.500
Sr: 0.500 0.000 0.000